The following is a PBE-GGA calculation of a relaxed TbPm2DyEr6 crystal, from the Alexandria database.

For the total energy, the calculation gives -4.493 eV/atom. The space group is C2/c.

a b c (Å): 9.628 8.718 8.718
angles (deg): 118.09 94.60 94.60
Element x y z (fractional)
Dy 0.750 0.593 0.407
Dy 0.250 0.407 0.593
Pm 0.457 0.807 0.703
Pm 0.543 0.193 0.297
Pm 0.043 0.297 0.193
Pm 0.957 0.703 0.807
Er 0.186 0.575 0.023
Er 0.443 0.256 0.875
Er 0.381 0.504 0.293
Er 0.814 0.425 0.977
Er 0.057 0.125 0.744
Er 0.619 0.496 0.707
Er 0.557 0.744 0.125
Er 0.686 0.023 0.575
Er 0.314 0.977 0.425
Er 0.119 0.707 0.496
Er 0.943 0.875 0.256
Er 0.881 0.293 0.504
Tb 0.750 0.019 0.981
Tb 0.250 0.981 0.019